Here is a geometry-optimized SmGa2O4 structure from Alexandria via LeMat-Bulk. Energies are from PBE.

- total magnetization (μB per atom) = 0.00
- formation energy from raw total energies (eV/atom) = -1.990

Cell lengths 7.262, 7.262, 5.360 Å; angles 90.00, 90.00, 90.00 degrees
Space group I4/m (No. 87)
Unique sites:
1 Sm 0.000 0.000 0.000 [2 per cell]
2 Ga 0.000 0.500 0.250 [4 per cell]
3 O 0.002 0.683 0.000 [8 per cell]

***

Here is a geometry-optimized Sm6Ga3O structure from Alexandria via LeMat-Bulk. Energies are from PBE.

- total magnetization (μB per atom) = 0.00
- formation energy from raw total energies (eV/atom) = -0.848

Cell lengths 6.503, 7.975, 11.367 Å; angles 90.00, 119.62, 90.00 degrees
Space group P2_1/c (No. 14)
Unique sites:
1 Sm 0.080 0.051 0.233 [4 per cell]
2 Sm 0.183 0.713 0.061 [4 per cell]
3 Sm 0.389 0.152 0.055 [4 per cell]
4 Ga 0.320 0.116 0.742 [4 per cell]
5 Ga 0.500 0.000 0.500 [2 per cell]
6 O 0.000 0.000 0.000 [2 per cell]

***

Here is a geometry-optimized Sm3GaO6 structure from Alexandria via LeMat-Bulk. Energies are from PBE.

- total magnetization (μB per atom) = 0.00
- formation energy from raw total energies (eV/atom) = -3.084

Cell lengths 9.159, 11.470, 5.554 Å; angles 90.00, 90.00, 90.00 degrees
Space group Cmc2_1 (No. 36)
Unique sites:
1 Sm 0.000 0.103 0.000 [4 per cell]
2 Sm 0.193 0.394 0.955 [8 per cell]
3 Ga 0.000 0.308 0.421 [4 per cell]
4 O 0.000 0.285 0.753 [4 per cell]
5 O 0.000 0.459 0.285 [4 per cell]
6 O 0.156 0.238 0.249 [8 per cell]
7 O 0.160 0.014 0.725 [8 per cell]

***

Here is a geometry-optimized Sm4Ga2O structure from Alexandria via LeMat-Bulk. Energies are from PBE.

- total magnetization (μB per atom) = 0.00
- formation energy from raw total energies (eV/atom) = -1.104

Cell lengths 6.610, 6.894, 8.605 Å; angles 90.00, 108.93, 90.00 degrees
Space group P2_1/m (No. 11)
Unique sites:
1 Sm 0.010 0.002 0.262 [4 per cell]
2 Sm 0.407 0.750 0.076 [2 per cell]
3 Sm 0.438 0.750 0.637 [2 per cell]
4 Ga 0.200 0.250 0.040 [2 per cell]
5 Ga 0.264 0.250 0.573 [2 per cell]
6 O 0.229 0.750 0.802 [2 per cell]

***

Here is a geometry-optimized SmGaO3 structure from Alexandria via LeMat-Bulk. Energies are from PBE.

- total magnetization (μB per atom) = 0.00
- formation energy from raw total energies (eV/atom) = -2.521

Cell lengths 5.4702, 5.4702, 14.8767 Å; angles 90.00, 90.00, 120.00 degrees
Space group R-3 (No. 148, hexagonal axes)
Unique sites:
1 Sm 0.0000 0.0000 0.1307 [6 per cell]
2 Ga 0.0000 0.0000 0.3470 [6 per cell]
3 O 0.0174 0.3948 0.9232 [18 per cell]

***

Here is a geometry-optimized Sm2GaO structure from Alexandria via LeMat-Bulk. Energies are from PBE.

- total magnetization (μB per atom) = 0.00
- formation energy from raw total energies (eV/atom) = -1.588

Cell lengths 3.6557, 3.6557, 21.6891 Å; angles 90.00, 90.00, 120.00 degrees
Space group R-3m (No. 166, hexagonal axes)
Unique sites:
1 Sm 0.0000 0.0000 0.2309 [6 per cell]
2 Ga 0.0000 0.0000 0.0000 [3 per cell]
3 O 0.0000 0.0000 0.5000 [3 per cell]